The following is a PBE+U calculation of a relaxed structure of TcMoPd2O, from Alexandria.

Calculated values
Final energy ... -31.1 eV per cell
V ... 15.434 A^3/atom

Structure (CIF):
```
data_TcMoPd2O
_chemical_formula_sum 'Tc1 Mo1 Pd2 O1'
_symmetry_space_group_name_H-M 'P 4/m m m'
_symmetry_Int_Tables_number 123
_symmetry_space_group_name_Hall '-P 4 2'
_cell_length_a 4.397
_cell_length_b 4.397
_cell_length_c 3.991
_cell_angle_alpha 90.00
_cell_angle_beta 90.00
_cell_angle_gamma 90.00
loop_
_atom_site_label
_atom_site_type_symbol
_atom_site_fract_x
_atom_site_fract_y
_atom_site_fract_z
Tc1 Tc 0.000 0.000 0.000
Mo1 Mo 0.500 0.500 0.000
Pd1 Pd 0.000 0.500 0.500
O1 O 0.000 0.000 0.500
```